Here is Nb4Ir3Rh after structural relaxation from Alexandria. Energies are from PBE-GGA.

Summary:
energy relative to the elements: -501 meV/atom

a b c (Å): 3.9007 4.0715 8.1332
angles (deg): 90.00 90.00 90.00
Positions (direct):
Nb  0.0000  0.0000  0.0000
Nb  0.0000  0.0000  0.5000
Nb  0.0000  0.5000  0.2485
Nb  0.0000  0.5000  0.7515
Ir  0.5000  0.0000  0.2510
Ir  0.5000  0.0000  0.7490
Ir  0.5000  0.5000  0.0000
Rh  0.5000  0.5000  0.5000